First-principles (PBE) data for crystalline Ce2PrTmP4 at its relaxed geometry, as listed in Alexandria via LeMat-Bulk.

The space group is P2/m (No. 10) and the conventional cell measures 7.0615, 4.0851 and 7.0783 Å, with angles of 90.00, 109.49 and 90.00 degrees. The distinct sites, in fractional coordinates, are Ce at (0.0000, 0.0000, 0.0000), Ce at (0.0000, 0.5000, 0.5000), Pr at (0.5000, 0.0000, 0.5000), Tm at (0.5000, 0.5000, 0.0000), P at (0.2455, 0.5000, 0.2405) and P at (0.2515, 0.0000, 0.7583).

The calculation puts the volume at 24.060 A^3/atom. Its final energy is -6.865 eV per atom. For the magnetic moment, the calculation gives 0.124 μB per atom.


First-principles (PBE) data for crystalline Ce2Pr3TmP6 at its relaxed geometry, as listed in Alexandria via LeMat-Bulk.

The space group is C2/m (No. 12) and the conventional cell measures 7.1263, 12.3440 and 7.1459 Å, with angles of 90.00, 109.42 and 90.00 degrees. The distinct sites, in fractional coordinates, are Ce at (0.0000, 0.1665, 0.0000), Pr at (0.0000, 0.0000, 0.5000), Pr at (0.0000, 0.3329, 0.5000), Tm at (0.0000, 0.5000, 0.0000), P at (0.2445, 0.3343, 0.2367) and P at (0.2481, 0.0000, 0.2381).

The calculation puts the volume at 24.701 A^3/atom. Its final energy is -6.787 eV per atom. For the magnetic moment, the calculation gives 0.062 μB per atom.


First-principles (PBE) data for crystalline Ce4PrU3P8 at its relaxed geometry, as listed in Alexandria via LeMat-Bulk.

The space group is R-3m (No. 166, hexagonal axes) and the conventional cell measures 8.0791, 8.0791 and 19.9284 Å, with angles of 90.00, 90.00 and 120.00 degrees. The distinct sites, in fractional coordinates, are Ce at (0.0000, 0.0000, 0.0000), Ce at (0.0000, 0.5000, 0.0000), Pr at (0.0000, 0.0000, 0.5000), U at (0.0000, 0.5000, 0.5000), P at (0.0000, 0.0000, 0.2460) and P at (0.0100, 0.5050, 0.7521).

The calculation puts the volume at 23.469 A^3/atom. Its final energy is -7.888 eV per atom. For the magnetic moment, the calculation gives 0.576 μB per atom.